(i)
Here is PrTmAl2 after structural relaxation from Alexandria. Energies are from GGA-PBE. Values from VASP.

Properties
Symmetry: Fm-3m, No. 225
V: 97.9 Å³ per cell
Theoretical density: 6.17 g/cm3

```
&SYSTEM
  ibrav = 0, nat = 4, ntyp = 3
/
ATOMIC_SPECIES
Pr 140.91 Pr.upf
Tm 168.93 Tm.upf
Al 26.98 Al.upf
CELL_PARAMETERS angstrom
0.000 3.659 3.659
3.659 0.000 3.659
3.659 3.659 0.000
ATOMIC_POSITIONS crystal
Pr 0.000 0.000 0.000
Tm 0.500 0.500 0.500
Al 0.250 0.250 0.250
Al 0.750 0.750 0.750
```



(ii)
Here is PrTmAl2 after structural relaxation from Alexandria. Energies are from GGA-PBE. Values from VASP.

Properties
Symmetry: P4/mmm, No. 123
V: 97.4 Å³ per cell
Theoretical density: 6.20 g/cm3

```
&SYSTEM
  ibrav = 0, nat = 4, ntyp = 3
/
ATOMIC_SPECIES
Pr 140.91 Pr.upf
Tm 168.93 Tm.upf
Al 26.98 Al.upf
CELL_PARAMETERS angstrom
3.659 0.000 0.000
0.000 3.659 0.000
0.000 0.000 7.277
ATOMIC_POSITIONS crystal
Pr 0.000 0.000 0.000
Tm 0.000 0.000 0.500
Al 0.500 0.500 0.273
Al 0.500 0.500 0.727
```



Relative energies with respect to the most stable structure, expressed in meV per atom: (i) 19; (ii) 0.



(i)
Here is Pr3YAl8 after structural relaxation from Alexandria. Energies are from GGA-PBE. Values from VASP.

Properties
Symmetry: P3m1, No. 156
V: 260.2 Å³ per cell
Theoretical density: 4.64 g/cm3

```
&SYSTEM
  ibrav = 0, nat = 12, ntyp = 3
/
ATOMIC_SPECIES
Pr 140.91 Pr.upf
Y 88.91 Y.upf
Al 26.98 Al.upf
CELL_PARAMETERS angstrom
5.668 0.000 0.000
-2.834 4.908 0.000
0.000 0.000 9.353
ATOMIC_POSITIONS crystal
Pr 0.000 0.000 0.000
Pr 0.000 0.000 0.363
Pr 0.333 0.667 0.863
Y 0.333 0.667 0.499
Al 0.009 0.505 0.183
Al 0.325 0.162 0.677
Al 0.495 0.505 0.183
Al 0.495 0.991 0.183
Al 0.667 0.333 0.432
Al 0.667 0.333 0.929
Al 0.838 0.162 0.677
Al 0.838 0.675 0.677
```



(ii)
Here is Pr3YAl8 after structural relaxation from Alexandria. Energies are from GGA-PBE. Values from VASP.

Properties
Symmetry: R3m, No. 160
V: 259.4 Å³ per cell
Theoretical density: 4.66 g/cm3

```
&SYSTEM
  ibrav = 0, nat = 12, ntyp = 3
/
ATOMIC_SPECIES
Pr 140.91 Pr.upf
Y 88.91 Y.upf
Al 26.98 Al.upf
CELL_PARAMETERS angstrom
2.838 1.638 9.301
-2.838 1.638 9.301
0.000 -3.276 9.301
ATOMIC_POSITIONS crystal
Pr 0.000 0.000 0.000
Pr 0.125 0.125 0.125
Pr 0.625 0.625 0.625
Y 0.501 0.501 0.501
Al 0.062 0.062 0.561
Al 0.062 0.561 0.062
Al 0.065 0.563 0.563
Al 0.312 0.312 0.312
Al 0.561 0.062 0.062
Al 0.563 0.065 0.563
Al 0.563 0.563 0.065
Al 0.813 0.813 0.813
```



Relative energies with respect to the most stable structure, expressed in meV per atom: (i) 11; (ii) 0.



(i)
Here is PrY2Al2 after structural relaxation from Alexandria. Energies are from GGA-PBE. Values from VASP.

Properties
Symmetry: P4/mbm, No. 127
V: 269.5 Å³ per cell
Theoretical density: 4.59 g/cm3

```
&SYSTEM
  ibrav = 0, nat = 10, ntyp = 3
/
ATOMIC_SPECIES
Pr 140.91 Pr.upf
Y 88.91 Y.upf
Al 26.98 Al.upf
CELL_PARAMETERS angstrom
8.556 0.000 0.000
0.000 8.556 0.000
0.000 0.000 3.682
ATOMIC_POSITIONS crystal
Pr 0.000 0.000 0.000
Pr 0.500 0.500 0.000
Y 0.179 0.321 0.500
Y 0.321 0.821 0.500
Y 0.679 0.179 0.500
Y 0.821 0.679 0.500
Al 0.114 0.614 0.000
Al 0.386 0.114 0.000
Al 0.614 0.886 0.000
Al 0.886 0.386 0.000
```



(ii)
Here is PrY2Al2 after structural relaxation from Alexandria. Energies are from GGA-PBE. Values from VASP.

Properties
Symmetry: P2_1/m, No. 11
V: 283.9 Å³ per cell
Theoretical density: 4.36 g/cm3

```
&SYSTEM
  ibrav = 0, nat = 10, ntyp = 3
/
ATOMIC_SPECIES
Pr 140.91 Pr.upf
Y 88.91 Y.upf
Al 26.98 Al.upf
CELL_PARAMETERS angstrom
5.647 0.000 0.000
0.000 3.821 0.000
-1.526 0.000 13.160
ATOMIC_POSITIONS crystal
Pr 0.180 0.250 0.232
Pr 0.820 0.750 0.768
Y 0.240 0.750 0.464
Y 0.350 0.250 0.890
Y 0.650 0.750 0.110
Y 0.760 0.250 0.536
Al 0.143 0.750 0.035
Al 0.293 0.250 0.657
Al 0.707 0.750 0.343
Al 0.857 0.250 0.965
```



Relative energies with respect to the most stable structure, expressed in meV per atom: (i) 0; (ii) 127.



(i)
Here is PrY2Al after structural relaxation from Alexandria. Energies are from GGA-PBE. Values from VASP.

Properties
Symmetry: Amm2, No. 38
V: 225.9 Å³ per cell
Theoretical density: 5.08 g/cm3

```
&SYSTEM
  ibrav = 0, nat = 8, ntyp = 3
/
ATOMIC_SPECIES
Pr 140.91 Pr.upf
Y 88.91 Y.upf
Al 26.98 Al.upf
CELL_PARAMETERS angstrom
5.347 0.000 0.000
0.000 3.488 6.056
0.000 -3.488 6.056
ATOMIC_POSITIONS crystal
Pr 0.000 0.231 0.769
Pr 0.000 0.769 0.231
Y 0.000 0.237 0.237
Y 0.500 0.060 0.588
Y 0.500 0.587 0.587
Y 0.500 0.588 0.060
Al 0.000 0.745 0.745
Al 0.500 0.086 0.086
```



(ii)
Here is PrY2Al after structural relaxation from Alexandria. Energies are from GGA-PBE. Values from VASP.

Properties
Symmetry: P4/mmm, No. 123
V: 115.9 Å³ per cell
Theoretical density: 4.95 g/cm3

```
&SYSTEM
  ibrav = 0, nat = 4, ntyp = 3
/
ATOMIC_SPECIES
Pr 140.91 Pr.upf
Y 88.91 Y.upf
Al 26.98 Al.upf
CELL_PARAMETERS angstrom
3.561 0.000 0.000
0.000 3.561 0.000
0.000 0.000 9.145
ATOMIC_POSITIONS crystal
Pr 0.000 0.000 0.000
Y 0.500 0.500 0.293
Y 0.500 0.500 0.707
Al 0.000 0.000 0.500
```



(iii)
Here is PrY2Al after structural relaxation from Alexandria. Energies are from GGA-PBE. Values from VASP.

Properties
Symmetry: Fm-3m, No. 225
V: 113.5 Å³ per cell
Theoretical density: 5.06 g/cm3

```
&SYSTEM
  ibrav = 0, nat = 4, ntyp = 3
/
ATOMIC_SPECIES
Pr 140.91 Pr.upf
Y 88.91 Y.upf
Al 26.98 Al.upf
CELL_PARAMETERS angstrom
0.000 3.843 3.843
3.843 0.000 3.843
3.843 3.843 0.000
ATOMIC_POSITIONS crystal
Pr 0.000 0.000 0.000
Y 0.250 0.250 0.250
Y 0.750 0.750 0.750
Al 0.500 0.500 0.500
```



(iv)
Here is PrY2Al after structural relaxation from Alexandria. Energies are from GGA-PBE. Values from VASP.

Properties
Symmetry: P4/mmm, No. 123
V: 113.4 Å³ per cell
Theoretical density: 5.06 g/cm3

```
&SYSTEM
  ibrav = 0, nat = 4, ntyp = 3
/
ATOMIC_SPECIES
Pr 140.91 Pr.upf
Y 88.91 Y.upf
Al 26.98 Al.upf
CELL_PARAMETERS angstrom
4.855 0.000 0.000
0.000 4.855 0.000
0.000 0.000 4.811
ATOMIC_POSITIONS crystal
Pr 0.000 0.000 0.000
Y 0.000 0.500 0.500
Y 0.500 0.000 0.500
Al 0.500 0.500 0.000
```



Relative energies with respect to the most stable structure, expressed in meV per atom: (i) 26; (ii) 0; (iii) 204; (iv) 40.



(i)
Here is PrY2Al after structural relaxation from Alexandria. Energies are from GGA-PBE. Values from VASP.

Properties
Symmetry: Immm, No. 71
V: 118.0 Å³ per cell
Theoretical density: 4.87 g/cm3

```
&SYSTEM
  ibrav = 0, nat = 4, ntyp = 3
/
ATOMIC_SPECIES
Pr 140.91 Pr.upf
Y 88.91 Y.upf
Al 26.98 Al.upf
CELL_PARAMETERS angstrom
-1.907 2.722 5.682
1.907 -2.722 5.682
1.907 2.722 -5.682
ATOMIC_POSITIONS crystal
Pr 0.000 0.000 0.000
Y 0.285 0.785 0.500
Y 0.715 0.215 0.500
Al 0.500 0.500 0.000
```



(ii)
Here is PrY2Al after structural relaxation from Alexandria. Energies are from GGA-PBE. Values from VASP.

Properties
Symmetry: R3m, No. 160
V: 120.6 Å³ per cell
Theoretical density: 4.76 g/cm3

```
&SYSTEM
  ibrav = 0, nat = 4, ntyp = 3
/
ATOMIC_SPECIES
Pr 140.91 Pr.upf
Y 88.91 Y.upf
Al 26.98 Al.upf
CELL_PARAMETERS angstrom
1.815 1.048 10.569
-1.815 1.048 10.569
0.000 -2.096 10.569
ATOMIC_POSITIONS crystal
Pr 0.000 0.000 0.000
Y 0.238 0.238 0.238
Y 0.430 0.430 0.430
Al 0.834 0.834 0.834
```



Relative energies with respect to the most stable structure, expressed in meV per atom: (i) 0; (ii) 105.



(i)
Here is PrY3Al8 after structural relaxation from Alexandria. Energies are from GGA-PBE. Values from VASP.

Properties
Symmetry: P3m1, No. 156
V: 249.7 Å³ per cell
Theoretical density: 4.15 g/cm3

```
&SYSTEM
  ibrav = 0, nat = 12, ntyp = 3
/
ATOMIC_SPECIES
Pr 140.91 Pr.upf
Y 88.91 Y.upf
Al 26.98 Al.upf
CELL_PARAMETERS angstrom
5.590 0.000 0.000
-2.795 4.841 0.000
0.000 0.000 9.229
ATOMIC_POSITIONS crystal
Pr 0.000 0.000 0.000
Y 0.000 0.000 0.364
Y 0.667 0.333 0.499
Y 0.667 0.333 0.863
Al 0.162 0.325 0.679
Al 0.162 0.838 0.679
Al 0.333 0.667 0.434
Al 0.333 0.667 0.930
Al 0.504 0.009 0.186
Al 0.504 0.496 0.186
Al 0.675 0.838 0.679
Al 0.991 0.496 0.186
```



(ii)
Here is PrY3Al8 after structural relaxation from Alexandria. Energies are from GGA-PBE. Values from VASP.

Properties
Symmetry: R3m, No. 160
V: 249.7 Å³ per cell
Theoretical density: 4.15 g/cm3

```
&SYSTEM
  ibrav = 0, nat = 12, ntyp = 3
/
ATOMIC_SPECIES
Pr 140.91 Pr.upf
Y 88.91 Y.upf
Al 26.98 Al.upf
CELL_PARAMETERS angstrom
2.799 1.616 9.198
-2.799 1.616 9.198
0.000 -3.232 9.198
ATOMIC_POSITIONS crystal
Pr 0.000 0.000 0.000
Y 0.376 0.376 0.376
Y 0.499 0.499 0.499
Y 0.875 0.875 0.875
Al 0.187 0.187 0.187
Al 0.437 0.437 0.936
Al 0.437 0.936 0.437
Al 0.439 0.938 0.938
Al 0.688 0.688 0.688
Al 0.936 0.437 0.437
Al 0.938 0.439 0.938
Al 0.938 0.938 0.439
```



Relative energies with respect to the most stable structure, expressed in meV per atom: (i) 9; (ii) 0.



(i)
Here is PrYAl after structural relaxation from Alexandria. Energies are from GGA-PBE. Values from VASP.

Properties
Symmetry: I4mm, No. 107
V: 85.4 Å³ per cell
Theoretical density: 4.99 g/cm3

```
&SYSTEM
  ibrav = 0, nat = 3, ntyp = 3
/
ATOMIC_SPECIES
Pr 140.91 Pr.upf
Y 88.91 Y.upf
Al 26.98 Al.upf
CELL_PARAMETERS angstrom
-1.756 1.756 6.924
1.756 -1.756 6.924
1.756 1.756 -6.924
ATOMIC_POSITIONS crystal
Pr 0.000 0.000 0.000
Y 0.292 0.292 0.000
Al 0.653 0.653 0.000
```



(ii)
Here is PrYAl after structural relaxation from Alexandria. Energies are from GGA-PBE. Values from VASP.

Properties
Symmetry: P6_3/mmc, No. 194
V: 169.0 Å³ per cell
Theoretical density: 5.05 g/cm3

```
&SYSTEM
  ibrav = 0, nat = 6, ntyp = 3
/
ATOMIC_SPECIES
Pr 140.91 Pr.upf
Y 88.91 Y.upf
Al 26.98 Al.upf
CELL_PARAMETERS angstrom
5.390 0.000 0.000
-2.695 4.668 0.000
0.000 0.000 6.715
ATOMIC_POSITIONS crystal
Pr 0.000 0.000 0.000
Pr 0.000 0.000 0.500
Y 0.333 0.667 0.250
Y 0.667 0.333 0.750
Al 0.333 0.667 0.750
Al 0.667 0.333 0.250
```



(iii)
Here is PrYAl after structural relaxation from Alexandria. Energies are from GGA-PBE. Values from VASP.

Properties
Symmetry: R-3m, No. 166
V: 193.5 Å³ per cell
Theoretical density: 4.41 g/cm3

```
&SYSTEM
  ibrav = 0, nat = 6, ntyp = 3
/
ATOMIC_SPECIES
Pr 140.91 Pr.upf
Y 88.91 Y.upf
Al 26.98 Al.upf
CELL_PARAMETERS angstrom
2.573 1.485 8.437
-2.573 1.485 8.437
0.000 -2.971 8.437
ATOMIC_POSITIONS crystal
Pr 0.123 0.123 0.123
Pr 0.877 0.877 0.877
Y 0.373 0.373 0.373
Y 0.627 0.627 0.627
Al 0.253 0.253 0.253
Al 0.747 0.747 0.747
```



(iv)
Here is PrYAl after structural relaxation from Alexandria. Energies are from GGA-PBE. Values from VASP.

Properties
Symmetry: P3m1, No. 156
V: 84.9 Å³ per cell
Theoretical density: 5.02 g/cm3

```
&SYSTEM
  ibrav = 0, nat = 3, ntyp = 3
/
ATOMIC_SPECIES
Pr 140.91 Pr.upf
Y 88.91 Y.upf
Al 26.98 Al.upf
CELL_PARAMETERS angstrom
5.147 0.000 0.000
-2.574 4.457 0.000
0.000 0.000 3.702
ATOMIC_POSITIONS crystal
Pr 0.000 0.000 0.000
Y 0.333 0.667 0.440
Al 0.667 0.333 0.664
```



Relative energies with respect to the most stable structure, expressed in meV per atom: (i) 11; (ii) 0; (iii) 201; (iv) 94.



(i)
Here is PrY4Al after structural relaxation from Alexandria. Energies are from GGA-PBE. Values from VASP.

Properties
Symmetry: C2/c, No. 15
V: 367.2 Å³ per cell
Theoretical density: 4.73 g/cm3

```
&SYSTEM
  ibrav = 0, nat = 12, ntyp = 3
/
ATOMIC_SPECIES
Pr 140.91 Pr.upf
Y 88.91 Y.upf
Al 26.98 Al.upf
CELL_PARAMETERS angstrom
4.484 -6.980 0.000
4.484 6.980 0.000
-2.103 0.000 5.866
ATOMIC_POSITIONS crystal
Pr 0.113 0.887 0.750
Pr 0.887 0.113 0.250
Y 0.119 0.316 0.860
Y 0.216 0.579 0.442
Y 0.316 0.119 0.360
Y 0.421 0.784 0.058
Y 0.579 0.216 0.942
Y 0.684 0.881 0.640
Y 0.784 0.421 0.558
Y 0.881 0.684 0.140
Al 0.499 0.501 0.250
Al 0.501 0.499 0.750
```



(ii)
Here is PrY4Al after structural relaxation from Alexandria. Energies are from GGA-PBE. Values from VASP.

Properties
Symmetry: P4/mmm, No. 123
V: 181.8 Å³ per cell
Theoretical density: 4.78 g/cm3

```
&SYSTEM
  ibrav = 0, nat = 6, ntyp = 3
/
ATOMIC_SPECIES
Pr 140.91 Pr.upf
Y 88.91 Y.upf
Al 26.98 Al.upf
CELL_PARAMETERS angstrom
3.595 0.000 0.000
0.000 3.595 0.000
0.000 0.000 14.066
ATOMIC_POSITIONS crystal
Pr 0.000 0.000 0.000
Y 0.000 0.000 0.369
Y 0.000 0.000 0.631
Y 0.500 0.500 0.184
Y 0.500 0.500 0.816
Al 0.500 0.500 0.500
```



Relative energies with respect to the most stable structure, expressed in meV per atom: (i) 68; (ii) 0.



(i)
Here is Pr2Y8Al after structural relaxation from Alexandria. Energies are from GGA-PBE. Values from VASP.

Properties
Symmetry: C2/m, No. 12
V: 349.7 Å³ per cell
Theoretical density: 4.84 g/cm3

```
&SYSTEM
  ibrav = 0, nat = 11, ntyp = 3
/
ATOMIC_SPECIES
Pr 140.91 Pr.upf
Y 88.91 Y.upf
Al 26.98 Al.upf
CELL_PARAMETERS angstrom
9.719 -2.768 0.000
9.719 2.768 0.000
-0.470 0.000 6.499
ATOMIC_POSITIONS crystal
Pr 0.242 0.242 0.334
Pr 0.758 0.758 0.666
Y 0.042 0.042 0.253
Y 0.153 0.153 0.815
Y 0.344 0.344 0.876
Y 0.423 0.423 0.393
Y 0.577 0.577 0.607
Y 0.656 0.656 0.124
Y 0.847 0.847 0.185
Y 0.958 0.958 0.747
Al 0.500 0.500 0.000
```



(ii)
Here is Pr2Y8Al after structural relaxation from Alexandria. Energies are from GGA-PBE. Values from VASP.

Properties
Symmetry: C2/m, No. 12
V: 363.6 Å³ per cell
Theoretical density: 4.66 g/cm3

```
&SYSTEM
  ibrav = 0, nat = 11, ntyp = 3
/
ATOMIC_SPECIES
Pr 140.91 Pr.upf
Y 88.91 Y.upf
Al 26.98 Al.upf
CELL_PARAMETERS angstrom
9.177 -3.394 0.000
9.177 3.394 0.000
-0.316 0.000 5.836
ATOMIC_POSITIONS crystal
Pr 0.223 0.223 0.259
Pr 0.777 0.777 0.741
Y 0.052 0.052 0.224
Y 0.129 0.639 0.262
Y 0.334 0.334 0.775
Y 0.361 0.871 0.738
Y 0.639 0.129 0.262
Y 0.666 0.666 0.225
Y 0.871 0.361 0.738
Y 0.948 0.948 0.776
Al 0.500 0.500 0.000
```



Relative energies with respect to the most stable structure, expressed in meV per atom: (i) 0; (ii) 144.



(i)
Here is Pr3Al4Zn4 after structural relaxation from Alexandria. Energies are from GGA-PBE. Values from VASP.

Properties
Symmetry: C2/m, No. 12
V: 239.1 Å³ per cell
Theoretical density: 5.50 g/cm3

```
&SYSTEM
  ibrav = 0, nat = 11, ntyp = 3
/
ATOMIC_SPECIES
Pr 140.91 Pr.upf
Al 26.98 Al.upf
Zn 65.41 Zn.upf
CELL_PARAMETERS angstrom
13.499 -2.204 0.000
13.499 2.204 0.000
-0.612 0.000 4.018
ATOMIC_POSITIONS crystal
Pr 0.000 0.000 0.000
Pr 0.351 0.351 0.852
Pr 0.649 0.649 0.148
Al 0.096 0.096 0.598
Al 0.252 0.252 0.252
Al 0.748 0.748 0.748
Al 0.904 0.904 0.402
Zn 0.191 0.191 0.692
Zn 0.451 0.451 0.451
Zn 0.549 0.549 0.549
Zn 0.809 0.809 0.308
```



(ii)
Here is Pr3Al4Zn4 after structural relaxation from Alexandria. Energies are from GGA-PBE. Values from VASP.

Properties
Symmetry: I-43m, No. 217
V: 241.4 Å³ per cell
Theoretical density: 5.45 g/cm3

```
&SYSTEM
  ibrav = 0, nat = 11, ntyp = 3
/
ATOMIC_SPECIES
Pr 140.91 Pr.upf
Al 26.98 Al.upf
Zn 65.41 Zn.upf
CELL_PARAMETERS angstrom
-3.923 3.923 3.923
3.923 -3.923 3.923
3.923 3.923 -3.923
ATOMIC_POSITIONS crystal
Pr 0.000 0.500 0.500
Pr 0.500 0.000 0.500
Pr 0.500 0.500 0.000
Al 0.000 0.000 0.261
Al 0.000 0.261 0.000
Al 0.261 0.000 0.000
Al 0.739 0.739 0.739
Zn 0.000 0.000 0.620
Zn 0.000 0.620 0.000
Zn 0.380 0.380 0.380
Zn 0.620 0.000 0.000
```



Relative energies with respect to the most stable structure, expressed in meV per atom: (i) 0; (ii) 128.